[1]
Compound: SbRhW2
Source: Alexandria via LeMat-Bulk
Functional: SCAN
Structure: single point on PBEsol structure

## Properties
* symmetry: No. 12
* uncorrected formation energy: 0.295 eV per atom

Cell and atoms, written as POSCAR:
```
SbRhW2
1.0
4.793 -1.528 0.000
4.793 1.528 0.000
-0.841 0.000 4.437
Sb Rh W
1 1 2
direct
0.000 0.000 0.000 Sb
0.500 0.500 0.500 Rh
0.245 0.245 0.736 W
0.755 0.755 0.264 W
```

[2]
Compound: BaTlAg2
Source: Alexandria via LeMat-Bulk
Functional: SCAN
Structure: single point on PBEsol structure

## Properties
* raw total energy: -43.90 eV per atom
* symmetry: No. 160

Cell and atoms, written as POSCAR:
```
BaTlAg2
1.0
2.398 1.384 5.631
-2.398 1.384 5.631
0.000 -2.769 5.631
Ba Tl Ag
1 1 2
direct
0.000 0.000 0.000 Ba
0.796 0.796 0.796 Tl
0.202 0.202 0.202 Ag
0.525 0.525 0.525 Ag
```

[3]
Compound: K2BaSrRu
Source: Alexandria via LeMat-Bulk
Functional: SCAN
Structure: single point on PBEsol structure

## Properties
* raw total energy: -21.71 eV per atom
* symmetry: No. 123

Cell and atoms, written as POSCAR:
```
K2BaSrRu
1.0
6.669 0.000 0.000
0.000 6.669 0.000
0.000 0.000 4.996
K Ba Sr Ru
2 1 1 1
direct
0.000 0.500 0.000 K
0.500 0.000 0.000 K
0.000 0.000 0.500 Ba
0.500 0.500 0.000 Sr
0.500 0.500 0.500 Ru
```

[4]
Compound: TcNi2P
Source: Alexandria via LeMat-Bulk
Functional: SCAN
Structure: single point on PBEsol structure

## Properties
* raw total energy: -19.46 eV per atom
* symmetry: No. 65

Cell and atoms, written as POSCAR:
```
TcNi2P
1.0
2.394 -3.744 0.000
2.394 3.744 0.000
0.000 0.000 2.598
Tc Ni P
1 2 1
direct
0.000 0.000 0.000 Tc
0.000 0.500 0.500 Ni
0.500 0.000 0.500 Ni
0.500 0.500 0.000 P
```

[5]
Compound: SmRu2
Source: Alexandria via LeMat-Bulk
Functional: SCAN
Structure: single point on PBEsol structure

## Properties
* raw total energy: -38.28 eV per atom
* symmetry: No. 227

Cell and atoms, written as POSCAR:
```
SmRu2
1.0
0.000 3.754 3.754
3.754 0.000 3.754
3.754 3.754 0.000
Sm Ru
2 4
direct
0.125 0.125 0.125 Sm
0.875 0.875 0.875 Sm
0.000 0.500 0.500 Ru
0.500 0.000 0.500 Ru
0.500 0.500 0.000 Ru
0.500 0.500 0.500 Ru
```

[6]
Compound: YFeSb2
Source: Alexandria via LeMat-Bulk
Functional: SCAN
Structure: single point on PBEsol structure

## Properties
* symmetry: No. 99
* uncorrected formation energy: -0.037 eV per atom

Cell and atoms, written as POSCAR:
```
YFeSb2
1.0
3.164 0.000 0.000
0.000 3.164 0.000
0.000 0.000 8.798
Y Fe Sb
1 1 2
direct
0.000 0.000 0.000 Y
0.500 0.500 0.210 Fe
0.000 0.000 0.366 Sb
0.500 0.500 0.722 Sb
```

For the records above, the corresponding total magnetic moment values read 0.0; 0.0; 0.0; 0.0; 0.0; 0.0 μB per cell.